VASP calculation (PBE) on crystalline PuScC at its relaxed geometry.

* relative energy among the computed polymorphs: 333 meV/atom
* spin magnetization: 5.6 μB/f.u.
* formation energy from the elements: 158.7 meV/atom

Unit cell a=4.172 b=4.172 c=4.172 alpha=60.00 beta=60.00 gamma=60.00
Each line ends with the local moment (μB).
Atoms (fractional coordinates):
Sc: 0.000 0.000 0.000  0.42
C: 0.250 0.250 0.250  -0.14
Pu: 0.500 0.500 0.500  5.14